YSeCl: relaxed, GGA-PBE.

Calculated values
E_tot: -5.176 eV/atom
magnetization: 0.00 μB/cell
formation energy without anion corrections: -1.24 eV per atom

CIF file:
```
data_YSeCl
_chemical_formula_sum 'Y4 Se4 Cl4'
_symmetry_space_group_name_H-M 'F -4 3 m'
_symmetry_Int_Tables_number 216
_symmetry_space_group_name_Hall 'F -4 2 3'
_cell_length_a 6.870
_cell_length_b 6.870
_cell_length_c 6.870
_cell_angle_alpha 90.00
_cell_angle_beta 90.00
_cell_angle_gamma 90.00
loop_
_atom_site_label
_atom_site_type_symbol
_atom_site_fract_x
_atom_site_fract_y
_atom_site_fract_z
Y1 Y 0.000 0.000 0.000
Se1 Se 0.250 0.250 0.750
Cl1 Cl 0.000 0.000 0.500
```